Material: BeCd2RePt
Method: DFT, PBE-GGA
State: optimized geometry

Properties
space-group type: No. 123
calculated total energy: -18.29 eV per cell
energy of formation: 1.152 eV per atom
total magnetization: 0.699 μB per atom

Cell lengths 5.1285, 4.1265, 5.1285 Å; angles 90.00, 90.00, 90.00 degrees
With the nearest neighbours (Å) after each atom.
Sites, in units of the cell vectors:
Re (0.5000, 0.5000, 0.5000)  8 Cd 3.29, 4 Be 3.63
Be (0.0000, 0.5000, 0.0000)  2 Pt 2.06
Pt (0.0000, 0.0000, 0.0000)  2 Be 2.06
Cd (0.0000, 0.0000, 0.5000)  2 Pt 2.56
Cd (0.5000, 0.0000, 0.0000)  2 Pt 2.56

---

Material: Tl2TcAs
Method: DFT, PBE-GGA
State: optimized geometry

Properties
space-group type: No. 99
relative energy among the computed polymorphs: 0 meV/atom
calculated total energy: -19.30 eV per cell
energy of formation: 0.113 eV per atom
total magnetization: 0.000 μB per atom

Cell lengths 3.2292, 3.2292, 8.6828 Å; angles 90.00, 90.00, 90.00 degrees
With the nearest neighbours (Å) after each atom.
Sites, in units of the cell vectors:
As (0.0000, 0.0000, 0.5727)  4 Tc 2.53
Tl (0.0000, 0.0000, 0.9460)  4 Tc 3.14, 4 Tl 3.23, 1 As 3.24
Tl (0.5000, 0.5000, 0.2832)  4 Tl 3.23, 4 As 3.40, 1 Tc 3.60
Tc (0.5000, 0.5000, 0.6981)  4 As 2.53

---

Material: Ba2TlZnPd
Method: DFT, PBE-GGA
State: optimized geometry

Properties
space-group type: No. 123
relative energy among the computed polymorphs: 0 meV/atom
calculated total energy: -14.21 eV per cell
energy of formation: -0.305 eV per atom
total magnetization: 0.000 μB per atom

Cell lengths 6.1363, 6.1363, 4.8994 Å; angles 90.00, 90.00, 90.00 degrees
With the nearest neighbours (Å) after each atom.
Sites, in units of the cell vectors:
Zn (0.0000, 0.0000, 0.5000)  2 Pd 2.45
Tl (0.5000, 0.5000, 0.5000)  8 Ba 3.93, 4 Zn 4.34
Ba (0.0000, 0.5000, 0.0000)  2 Pd 3.07
Ba (0.5000, 0.0000, 0.0000)  2 Pd 3.07
Pd (0.0000, 0.0000, 0.0000)  2 Zn 2.45

---

> Which value of total magnetization does entry 2 give?

0.000 μB per atom